DFT (GGA-PBE) results for a relaxed structure of NaPuZr.

Calculated values
Total moment, μB per formula unit: 8.58
Total DFT energy (no corrections), eV/atom: -6.754
Symmetry: F-43m (216)

```
data_NaPuZr
_symmetry_space_group_name_H-M 'P 1'
_symmetry_Int_Tables_number 1
_symmetry_space_group_name_Hall 'P 1'
_cell_length_a 5.027
_cell_length_b 5.027
_cell_length_c 5.027
_cell_angle_alpha 60.00
_cell_angle_beta 60.00
_cell_angle_gamma 60.00
loop_
_atom_site_label
_atom_site_fract_x
_atom_site_fract_y
_atom_site_fract_z
Na1 0.000 0.000 0.000
Pu1 0.750 0.750 0.750
Zr1 0.250 0.250 0.250
```